# 1
Crystalline Mg2TcSn at its relaxed geometry. Source: OQMD, functional PBE.

Cell and atoms, written as POSCAR:
```
Mg2TcSn
1.0
0.000 3.306 3.306
3.306 0.000 3.306
3.306 3.306 0.000
Mg Tc Sn
2 1 1
Direct
0.000 0.000 0.000
0.250 0.250 0.250
0.750 0.750 0.750
0.500 0.500 0.500
```

Values from the calculation:
Mass density ... 6.1 g/cm³
Space-group type ... No. 216
DFT total energy ... -4.227 eV per atom



# 2
Crystalline Dy3Mg3Cd2Au at its relaxed geometry. Source: OQMD, functional PBE.

Cell and atoms, written as POSCAR:
```
Dy3Mg3Cd2Au
1.0
7.680 0.000 0.000
-3.840 6.651 0.000
0.000 0.000 4.309
Dy Mg Cd Au
3 3 2 1
Direct
0.000 0.598 0.000
0.402 0.402 0.000
0.598 0.000 0.000
0.000 0.240 0.500
0.240 0.000 0.500
0.760 0.760 0.500
0.333 0.667 0.500
0.667 0.333 0.500
0.000 0.000 0.000
```

Values from the calculation:
Mass density ... 7.4 g/cm³
Space-group type ... No. 189
DFT total energy ... -3.001 eV per atom



# 3
Crystalline AlZn at its relaxed geometry. Source: OQMD, functional PBE.

Cell and atoms, written as POSCAR:
```
AlZn
1.0
5.541 0.000 0.000
-2.771 4.799 0.000
0.000 0.000 4.788
Al Zn
4 4
Direct
0.000 0.000 0.000
0.335 0.167 0.500
0.833 0.167 0.500
0.833 0.665 0.500
0.000 0.500 0.000
0.333 0.667 0.500
0.500 0.000 0.000
0.500 0.500 0.000
```

Values from the calculation:
Mass density ... 4.8 g/cm³
Space-group type ... No. 187
DFT total energy ... -2.443 eV per atom



# 4
Crystalline Li4AlZn2Ni at its relaxed geometry. Source: OQMD, functional PBE.

Cell and atoms, written as POSCAR:
```
Li4AlZn2Ni
1.0
4.218 0.000 0.000
0.000 4.218 0.000
0.000 0.000 6.050
Li Al Zn Ni
4 1 2 1
Direct
0.000 0.000 0.000
0.000 0.500 0.231
0.500 0.000 0.769
0.500 0.500 0.500
0.000 0.000 0.500
0.000 0.500 0.768
0.500 0.000 0.232
0.500 0.500 0.000
```

Values from the calculation:
Mass density ... 3.8 g/cm³
Space-group type ... No. 115
DFT total energy ... -2.592 eV per atom



# 5
Crystalline Ge3Mo2Ir2 at its relaxed geometry. Source: OQMD, functional PBE.

Cell and atoms, written as POSCAR:
```
Ge3Mo2Ir2
1.0
2.096 1.210 7.385
-2.096 1.210 7.385
0.000 -2.421 7.385
Ge Mo Ir
3 2 2
Direct
0.000 0.000 0.000
0.236 0.236 0.236
0.476 0.476 0.476
0.113 0.113 0.113
0.618 0.618 0.618
0.361 0.361 0.361
0.865 0.865 0.865
```

Values from the calculation:
Mass density ... 11.7 g/cm³
Space-group type ... No. 160
DFT total energy ... -7.467 eV per atom



# 6
Crystalline KNbCuSeS2 at its relaxed geometry. Source: OQMD, functional PBE.

Cell and atoms, written as POSCAR:
```
KNbCuSeS2
1.0
1.798 -7.437 0.000
1.798 7.437 0.000
0.000 0.000 9.814
K Nb Cu Se S
2 2 2 2 4
Direct
0.241 0.759 0.750
0.759 0.241 0.250
0.000 0.000 0.000
0.000 0.000 0.500
0.464 0.536 0.250
0.536 0.464 0.750
0.075 0.925 0.250
0.925 0.075 0.750
0.385 0.615 0.054
0.385 0.615 0.446
0.615 0.385 0.554
0.615 0.385 0.946
```

Values from the calculation:
Mass density ... 4.3 g/cm³
Space-group type ... No. 63
DFT total energy ... -5.282 eV per atom